{
  "formula": "CrCo2PdC",
  "functional": "PBE",
  "state": "optimized geometry",
  "lattice": [[3.790, 0.000, 0.000], [0.000, 3.790, 0.000], [0.000, 0.000, 3.954]],
  "species": ["Cr", "Co", "Co", "Pd", "C"],
  "frac_coords": [[0.000, 0.000, 0.000], [0.000, 0.500, 0.500], [0.500, 0.000, 0.500], [0.500, 0.500, 0.000], [0.000, 0.000, 0.500]],
  "dos_ef_per_ev_atom": 1.276,
  "spacegroup": "No. 123",
  "m_tot_mub_per_atom": 0.942,
  "ef_ev_per_atom": 0.12
}

---

{
  "formula": "ReTc2Ge4",
  "functional": "PBE",
  "state": "optimized geometry",
  "lattice": [[7.175, -1.576, 0.000], [7.175, 1.576, 0.000], [-2.035, 0.000, 5.201]],
  "species": ["Re", "Tc", "Tc", "Ge", "Ge", "Ge", "Ge"],
  "frac_coords": [[0.000, 0.000, 0.000], [0.248, 0.248, 0.251], [0.752, 0.752, 0.749], [0.121, 0.121, 0.781], [0.386, 0.386, 0.679], [0.614, 0.614, 0.321], [0.879, 0.879, 0.219]],
  "e_above_lowest_polymorph_mev_per_atom": 0,
  "dos_ef_per_ev_atom": 0.344,
  "spacegroup": "No. 12",
  "m_tot_mub_per_atom": 0.000,
  "ef_ev_per_atom": 0.01
}